This record from Alexandria describes a relaxed structure of LiIn2Cl8. The functional is PBE.

Values from the calculation:
ΔE_f (raw)   -0.985 eV/atom
Total magnetic moment   2.33 μB/cell
DFT total energy   -66.00 eV per cell

abc: 14.120 8.462 6.169
angles: 90.00 102.88 90.00
Space group C2/m (No. 12)
Inequivalent atoms, fractional coordinates:
Li 0.000 0.000 0.000
In 0.171 0.000 0.651
Cl 0.075 0.214 0.750
Cl 0.163 0.500 0.166
Cl 0.164 0.000 0.259

***

This record from Alexandria describes a relaxed structure of SiAgP2. The functional is PBE.

Values from the calculation:
ΔE_f (raw)   0.505 eV/atom
Total magnetic moment   0.00 μB/cell
DFT total energy   -17.07 eV per cell

abc: 3.066 3.066 6.811
angles: 90.00 90.00 90.00
Space group P4/mmm (No. 123)
Inequivalent atoms, fractional coordinates:
Si 0.000 0.000 0.000
Ag 0.000 0.000 0.500
P 0.500 0.500 0.204

***

This record from Alexandria describes a relaxed structure of Ti2Cu2Os. The functional is PBE.

Values from the calculation:
Total magnetic moment   0.00 μB/cell
ΔE_f   -58.1 meV/atom
DFT total energy   -71.00 eV per cell

abc: 6.708 6.708 3.156
angles: 90.00 90.00 90.00
Space group P4/mbm (No. 127)
Inequivalent atoms, fractional coordinates:
Ti 0.185 0.315 0.000
Cu 0.121 0.621 0.500
Os 0.000 0.000 0.500

***

This record from Alexandria describes a relaxed structure of SbPt2Br. The functional is PBE.

Values from the calculation:
ΔE_f (raw)   0.101 eV/atom
Polymorph energy (0 for the lowest one)   93 kJ/mol of formula units
Total magnetic moment   0.00 μB/cell
DFT total energy   -69.89 eV per cell

abc: 6.732 6.732 8.691
angles: 90.00 90.00 90.00
Space group I-42d (No. 122)
Inequivalent atoms, fractional coordinates:
Sb 0.000 0.000 0.000
Pt 0.234 0.250 0.125
Br 0.000 0.000 0.500

***

This record from Alexandria describes a relaxed structure of Ca2Sn3Au. The functional is PBE.

Values from the calculation:
Total magnetic moment   0.00 μB/cell
ΔE_f   -491.8 meV/atom
DFT total energy   -22.24 eV per cell

abc: 4.294 4.867 8.060
angles: 90.00 90.00 90.00
Space group Pmm2 (No. 25)
Inequivalent atoms, fractional coordinates:
Ca 0.000 0.000 0.000
Ca 0.000 0.500 0.486
Sn 0.500 0.000 0.644
Sn 0.500 0.500 0.170
Sn 0.500 0.500 0.822
Au 0.500 0.000 0.310